! LiFeAs2O8 PBE with a Hubbard U relaxed; values from VASP
! Magnetization in μB/f.u.: 3.0
! Total DFT energy (no corrections) in eV per formula unit: -68.912
&SYSTEM
  ibrav = 0, nat = 12, ntyp = 4
/
ATOMIC_SPECIES
O 16.00 O.upf
Fe 55.84 Fe.upf
Li 6.94 Li.upf
As 74.92 As.upf
ATOMIC_POSITIONS angstrom
O 1.3797 4.1158 4.6072
O -1.4920 3.9215 4.6072
O 0.0000 3.1897 2.4608
O 0.1122 1.5317 4.6072
O 2.6501 3.2528 1.2717
O 1.3826 0.6687 1.2717
O 4.2543 0.8631 1.2717
O 2.7623 1.5948 3.4181
Fe 0.0000 0.0000 0.0000
Li 0.0000 0.0000 2.9394
As 0.0000 3.1897 4.1867
As 2.7623 1.5948 1.6922
CELL_PARAMETERS angstrom
5.5247 0.0000 0.0000
-2.7624 4.7845 0.0000
0.0000 0.0000 5.8789